4
Lattice="-3.486 -3.033 0.519 3.657 -1.791 -2.687 0.794 -1.996 1.758" Properties=species:S:1:pos:R:3 comment="Li2PRu | Alexandria via LeMat-Bulk | PBE | relaxed" dos_ef_per_ev_fu=1.4 energy_ev_per_atom=-4.850 sg=C2/m pbc="T T T"
Li 0.000 0.000 0.000
Li -1.346 -2.515 1.139
P 2.226 -1.894 -0.464
Ru 0.086 -2.412 -1.084

5
Lattice="5.870 0.000 0.000 0.000 5.870 0.000 0.000 0.000 5.870" Properties=species:S:1:pos:R:3 comment="Hg3BiI | Alexandria via LeMat-Bulk | PBE | relaxed" dos_ef_per_ev_fu=1.0 de_polymorph_ev_per_fu=0.17 energy_ev_per_atom=-1.286 sg=Pm-3m raw_formation_energy_kj_per_mol_fu=-9 pbc="T T T"
I 2.935 2.935 2.935
Bi 0.000 0.000 0.000
Hg 0.000 2.935 0.000
Hg 0.000 0.000 2.935
Hg 2.935 0.000 0.000

4
Lattice="-0.404 2.014 -5.629 4.266 -0.635 -4.160 -4.028 -2.195 3.855" Properties=species:S:1:pos:R:3 comment="SrReRh2 | Alexandria via LeMat-Bulk | PBE | relaxed" dos_ef_per_ev_fu=3.5 de_polymorph_ev_per_fu=0.91 energy_ev_per_atom=-6.823 sg=Imm2 pbc="T T T"
Re 0.950 -1.118 -2.259
Rh 0.037 0.013 -0.094
Rh -1.148 0.291 -3.594
Sr 1.925 0.688 -4.880

8
Lattice="5.807 0.000 0.000 0.000 9.432 0.025 0.000 3.558 4.585" Properties=species:S:1:pos:R:3 comment="Tb2PrDy4Mg | Alexandria via LeMat-Bulk | PBE | relaxed" dos_ef_per_ev_fu=16.3 energy_ev_per_atom=-4.148 sg=P4/mmm pbc="T T T"
Tb 0.000 3.558 4.585
Tb 2.904 1.779 2.292
Pr 2.904 4.716 0.013
Dy 0.000 9.708 3.481
Dy 5.807 3.282 1.129
Dy 2.904 7.931 1.192
Dy 2.904 5.059 3.418
Mg 0.000 6.495 2.305